Here is a relaxed structure of MnSbSe2 from the Alexandria database. Energies are from PBE-GGA.

## Properties
total moment	3.9	μB per formula unit
SG	R3m, No. 160
E_form (uncorrected)	-0.05	eV per atom

abc: 8.9020 8.9020 8.9020
angles: 23.77 23.77 23.77
Element x y z (fractional)
Mn 0.0000 0.0000 0.0000
Sb 0.5813 0.5813 0.5813
Se 0.1783 0.1783 0.1783
Se 0.7156 0.7156 0.7156

Here is a relaxed structure of Mn2SbSe from the Alexandria database. Energies are from PBE-GGA.

## Properties
total moment	7.2	μB per formula unit
SG	F-43m, No. 216
E_form (uncorrected)	0.55	eV per atom

abc: 4.7649 4.7649 4.7649
angles: 60.00 60.00 60.00
Element x y z (fractional)
Mn 0.0000 0.0000 0.0000
Mn 0.2500 0.2500 0.2500
Sb 0.5000 0.5000 0.5000
Se 0.7500 0.7500 0.7500

Here is a relaxed structure of MnSbSe2 from the Alexandria database. Energies are from PBE-GGA.

## Properties
total moment	4.6	μB per formula unit
SG	I-4m2, No. 119
E_form (uncorrected)	0.13	eV per atom

abc: 7.4295 7.4295 7.4295
angles: 149.93 149.93 43.04
Element x y z (fractional)
Mn 0.0000 0.0000 0.0000
Sb 0.2500 0.7500 0.5000
Se 0.5000 0.5000 0.0000
Se 0.7500 0.2500 0.5000

Here is a relaxed structure of MnSbSe2 from the Alexandria database. Energies are from PBE-GGA.

## Properties
total moment	4.4	μB per formula unit
SG	Imm2, No. 44
E_form (uncorrected)	-0.07	eV per atom

abc: 7.1995 7.1995 7.1995
angles: 151.71 149.02 42.45
Element x y z (fractional)
Mn 0.0000 0.0000 0.0000
Sb 0.2298 0.7298 0.5000
Se 0.5692 0.5692 0.0000
Se 0.8549 0.3549 0.5000

Here is a relaxed structure of MnSb3Se from the Alexandria database. Energies are from PBE-GGA.

## Properties
total moment	0.4	μB per formula unit
SG	Pm-3m, No. 221
E_form (uncorrected)	1.39	eV per atom
energy above the lowest structure with this stoichiometry	1106	meV per atom

abc: 5.3299 5.3299 5.3299
angles: 90.00 90.00 90.00
Element x y z (fractional)
Mn 0.0000 0.0000 0.0000
Sb 0.0000 0.5000 0.5000
Sb 0.5000 0.0000 0.5000
Sb 0.5000 0.5000 0.0000
Se 0.5000 0.5000 0.5000

Here is a relaxed structure of MnSbSe2 from the Alexandria database. Energies are from PBE-GGA.

## Properties
total moment	3.0	μB per formula unit
SG	C2/c, No. 15
E_form (uncorrected)	-0.11	eV per atom

abc: 8.3006 8.3006 12.3404
angles: 90.31 90.31 78.76
Element x y z (fractional)
Mn 0.0429 0.7253 0.6842
Mn 0.0955 0.2400 0.6646
Mn 0.2400 0.0955 0.1646
Mn 0.2747 0.9571 0.8158
Mn 0.7253 0.0429 0.1842
Mn 0.7600 0.9045 0.8354
Mn 0.9045 0.7600 0.3354
Mn 0.9571 0.2747 0.3158
Sb 0.1775 0.5767 0.2265
Sb 0.2771 0.3363 0.8296
Sb 0.3363 0.2771 0.3296
Sb 0.4233 0.8225 0.2735
Sb 0.5767 0.1775 0.7265
Sb 0.6637 0.7229 0.6704
Sb 0.7229 0.6637 0.1704
Sb 0.8225 0.4233 0.7735
Se 0.0089 0.9911 0.2500
Se 0.0364 0.3548 0.1258
Se 0.0520 0.8499 0.4986
Se 0.1225 0.4782 0.5673
Se 0.1501 0.9480 0.0014
Se 0.3452 0.6548 0.7500
Se 0.3548 0.0364 0.6258
Se 0.4782 0.1225 0.0673
Se 0.5218 0.8775 0.9327
Se 0.6452 0.9636 0.3742
Se 0.6548 0.3452 0.2500
Se 0.8499 0.0520 0.9986
Se 0.8775 0.5218 0.4327
Se 0.9480 0.1501 0.5014
Se 0.9636 0.6452 0.8742
Se 0.9911 0.0089 0.7500